Record 1
CrF4: optimized geometry, PBE with a Hubbard U.

abc: 3.885 3.885 3.885
angles: 90.00 90.00 90.00
Each line ends with the local moment (μB).
Fractional positions:
F  0.000  0.500  0.500  0.04
F  0.500  0.500  0.000  0.04
F  0.500  0.000  0.500  0.04
F  0.000  0.000  0.000  0.64
Cr  0.500  0.500  0.500  2.81

Values from the calculation:
Theoretical density = 3.63 g/cm³
Space group = Pm-3m
Crystal system = cubic
Energy = -0.361 Ry/atom
Calculated volume = 11.7 A^3/atom


Record 2
CrF6: optimized geometry, PBE with a Hubbard U.

abc: 5.465 5.465 5.465
angles: 56.14 56.14 56.14
Fractional positions:
Cr  0.000  0.000  0.000
F  0.208  0.650  0.921
F  0.079  0.792  0.350
F  0.792  0.350  0.079
F  0.350  0.079  0.792
F  0.921  0.208  0.650
F  0.650  0.921  0.208

Values from the calculation:
Theoretical density = 2.62 g/cm³
Space group = R-3
Crystal system = trigonal
Energy = -0.323 Ry/atom
Calculated volume = 15.0 A^3/atom